1.
# Si2TcAg

A geometry-optimized Si2TcAg structure (PBE-GGA, Alexandria).

Calculated values
* formation energy (no corrections): 0.22 eV/atom

Geometry as POSCAR:
```
Si2TcAg
1.0
-4.1410 1.7269 -2.1964
-0.5999 -1.0770 -4.8409
1.1101 -2.5257 4.1645
Si Ag Tc
2 1 1
Cartesian
-0.9301 -1.6389 -2.0976 Si
0.0000 0.0000 0.0000 Si
-2.7007 -0.2369 -0.7753 Ag
-2.3705 0.3250 -3.5187 Tc
```



2.
# KZrTe

A geometry-optimized KZrTe structure (PBE-GGA, Alexandria).

Calculated values
* formation energy (no corrections): -0.65 eV/atom

Geometry as POSCAR:
```
KZrTe
1.0
4.4196 0.0000 0.0000
0.0000 4.4196 0.0000
0.0000 0.0000 9.5020
Te K Zr
2 2 2
Cartesian
0.0000 2.2098 2.6864 Te
2.2098 0.0000 6.8156 Te
0.0000 2.2098 8.1315 K
2.2098 0.0000 1.3705 K
0.0000 0.0000 4.7510 Zr
2.2098 2.2098 4.7510 Zr
```



3.
# Ho3Pa2Se6

A geometry-optimized Ho3Pa2Se6 structure (PBE-GGA, Alexandria).

Calculated values
* formation energy (no corrections): -1.52 eV/atom

Geometry as POSCAR:
```
Ho3Pa2Se6
1.0
-3.4456 -1.9046 0.9561
0.1228 -3.6084 1.8379
-1.1793 7.3795 19.0330
Se Pa Ho
6 2 3
Cartesian
-2.2811 4.7869 18.4818 Se
-1.1618 5.1283 14.6118 Se
-1.1369 1.9292 8.3292 Se
-3.3653 -0.0628 13.4978 Se
-2.2211 -2.9205 3.3452 Se
-3.3404 -3.2618 7.2152 Se
-2.2388 -0.6476 7.8089 Pa
-2.2634 2.5141 14.0181 Pa
-3.3825 2.1569 17.8571 Ho
-1.1197 -0.2905 3.9699 Ho
0.0000 0.0000 0.0000 Ho
```



4.
# PmGe2PRu2

A geometry-optimized PmGe2PRu2 structure (PBE-GGA, Alexandria).

Calculated values
* ΔH_f (0 K): -0.38 eV per atom

Geometry as POSCAR:
```
PmGe2PRu2
1.0
4.4624 0.0000 0.0000
0.0000 4.4624 0.0000
0.0000 0.0000 5.5733
Pm P Ru Ge
1 1 2 2
Cartesian
0.0000 0.0000 2.7866 Pm
0.0000 0.0000 0.0000 P
2.2312 0.0000 0.0000 Ru
0.0000 2.2312 0.0000 Ru
2.2312 2.2312 4.0370 Ge
2.2312 2.2312 1.5363 Ge
```



5.
# Li3AuCl

A geometry-optimized Li3AuCl structure (PBE-GGA, Alexandria).

Calculated values
* formation energy (no corrections): -0.72 eV/atom

Geometry as POSCAR:
```
Li3AuCl
1.0
4.5424 0.0000 0.0000
0.0000 4.5424 0.0000
0.0000 0.0000 4.5424
Li Au Cl
3 1 1
Cartesian
0.0000 0.0000 2.2712 Li
0.0000 2.2712 0.0000 Li
2.2712 0.0000 0.0000 Li
2.2712 2.2712 2.2712 Au
0.0000 0.0000 0.0000 Cl
```



6.
# KCrCl2

A geometry-optimized KCrCl2 structure (PBE-GGA, Alexandria).

Calculated values
* formation energy (no corrections): -0.96 eV/atom

Geometry as POSCAR:
```
KCrCl2
1.0
7.5179 0.1744 -0.7371
6.2172 4.2304 -0.7371
-0.5976 -0.1916 4.2933
K Cl Cr
1 2 1
Cartesian
3.7441 1.2007 0.2773 K
9.4641 3.0351 1.5606 Cl
13.0326 4.1795 -0.0674 Cl
7.2005 2.3092 0.9839 Cr
```



7.
# HPd8Se2

A geometry-optimized HPd8Se2 structure (PBE-GGA, Alexandria).

Geometry as POSCAR:
```
HPd8Se2
1.0
4.1965 0.0000 0.0000
0.0000 5.2206 -0.8978
-2.0982 -3.1576 8.3451
Pd Se H
8 2 1
Cartesian
0.0000 1.2425 6.0039 Pd
0.0000 4.0511 -0.1812 Pd
2.0982 0.8205 1.4434 Pd
0.0000 0.3276 3.1923 Pd
2.0982 1.7354 4.2550 Pd
2.0982 3.6235 2.2205 Pd
0.0000 -1.5605 5.2268 Pd
2.0982 -1.9881 7.6285 Pd
2.0982 -0.2497 5.8625 Se
0.0000 2.3127 1.5848 Se
2.0982 0.0000 0.0000 H
```



8.
# BeAsAuSe2

A geometry-optimized BeAsAuSe2 structure (PBE-GGA, Alexandria).

Calculated values
* formation energy (no corrections): 0.52 eV/atom

Geometry as POSCAR:
```
BeAsAuSe2
1.0
-3.5883 1.5169 2.6322
-1.7423 -4.3646 0.1402
2.3043 -0.8041 3.6047
As Se Au Be
1 2 1 1
Cartesian
1.1521 -0.4020 1.8023 As
-0.8711 -2.1823 0.0701 Se
-1.7941 0.7585 1.3161 Se
-1.5131 -1.8259 3.1885 Au
0.0000 0.0000 0.0000 Be
```



9.
# BaSnAu2

A geometry-optimized BaSnAu2 structure (PBE-GGA, Alexandria).

Calculated values
* ΔH_f (0 K): -0.53 eV per atom

Geometry as POSCAR:
```
BaSnAu2
1.0
-4.4190 -1.1958 1.7169
-1.5434 -0.8459 -4.5615
5.9090 -19.5116 1.6191
Au Sn Ba
8 4 4
Cartesian
-1.7352 -11.4535 0.1941 Au
1.6726 -17.4067 0.4778 Au
-1.1479 -0.7561 -2.1950 Au
0.7967 -16.2290 -2.0165 Au
1.0061 -12.3040 -0.1767 Au
-2.9795 -2.9093 -1.5749 Au
-0.6916 -7.5624 -1.4198 Au
-0.7254 -5.7364 0.8252 Au
2.2197 -14.7513 -0.1443 Sn
-2.6398 -5.5913 -1.1817 Sn
-0.0778 -10.2138 -1.6578 Sn
2.6122 -19.8846 1.1414 Sn
0.2564 -2.6315 0.0644 Ba
-1.7678 -14.1078 -1.6893 Ba
3.4897 -17.9523 -2.6265 Ba
-2.0466 -8.5429 1.8111 Ba
```



10.
# Ce2PuBi

A geometry-optimized Ce2PuBi structure (PBE-GGA, Alexandria).

Calculated values
* ΔH_f (0 K): -0.36 eV per atom

Geometry as POSCAR:
```
Ce2PuBi
1.0
4.6300 0.0000 0.0000
0.0000 4.8962 0.0000
0.0000 0.0000 4.8962
Ce Pu Bi
2 1 1
Cartesian
0.0000 0.0000 2.4481 Ce
0.0000 2.4481 0.0000 Ce
2.3150 0.0000 0.0000 Pu
2.3150 2.4481 2.4481 Bi
```



11.
# Sb2TePdN

A geometry-optimized Sb2TePdN structure (PBE-GGA, Alexandria).

Calculated values
* formation energy (no corrections): 0.58 eV/atom

Geometry as POSCAR:
```
Sb2TePdN
1.0
4.7496 0.0000 0.0000
0.0000 4.7496 0.0000
0.0000 0.0000 4.5986
Pd N Sb Te
1 1 2 1
Cartesian
2.3748 2.3748 2.2993 Pd
0.0000 0.0000 0.0000 N
2.3748 0.0000 0.0000 Sb
0.0000 2.3748 0.0000 Sb
0.0000 0.0000 2.2993 Te
```



12.
# LiMgIO4

A geometry-optimized LiMgIO4 structure (PBE-GGA, Alexandria).

Calculated values
* formation energy (no corrections): -1.32 eV/atom

Geometry as POSCAR:
```
LiMgIO4
1.0
-1.4802 -1.5153 -6.3786
3.0802 -4.0864 -3.2851
-2.8463 -5.1086 -1.6669
O I Mg Li
8 2 2 2
Cartesian
-1.6685 -5.1612 -3.3789 O
-0.9652 -8.2427 -8.4410 O
-0.2811 -2.4675 -2.8896 O
-0.9332 -3.6196 -6.0057 O
0.4221 -5.5490 -7.9518 O
1.2958 -4.6547 -4.1871 O
-0.3132 -7.0907 -5.3250 O
-2.5421 -6.0556 -7.1436 O
-1.9709 -6.2104 -5.1494 I
0.7246 -4.4999 -6.1813 I
0.1169 -4.5975 -2.4760 Mg
0.0000 0.0000 0.0000 Mg
-2.1633 -3.3119 -4.0228 Li
-1.4231 -2.5543 -0.8335 Li
```



13.
# BaLi2In

A geometry-optimized BaLi2In structure (PBE-GGA, Alexandria).

Calculated values
* ΔH_f (0 K): -0.10 eV per atom

Geometry as POSCAR:
```
BaLi2In
1.0
-1.0551 -1.8551 4.6996
1.2546 -3.3470 -1.0395
6.1141 1.0522 1.7880
Ba In Li
1 1 2
Cartesian
1.3146 -1.5012 2.5369 Ba
4.9989 -2.6486 2.9112 In
6.8030 -2.2378 0.6440 Li
4.2499 -1.2043 0.4788 Li
```



14.
# Nd2Zn7Rh

A geometry-optimized Nd2Zn7Rh structure (PBE-GGA, Alexandria).

Calculated values
* ΔH_f (0 K): -0.34 eV per atom

Geometry as POSCAR:
```
Nd2Zn7Rh
1.0
4.2341 0.0000 0.0000
0.0000 4.2341 0.0000
0.0000 0.0000 10.5660
Zn Rh Nd
7 1 2
Cartesian
2.1170 0.0000 1.4047 Zn
0.0000 0.0000 0.0000 Zn
2.1170 0.0000 3.8817 Zn
0.0000 2.1170 6.6843 Zn
0.0000 0.0000 5.2830 Zn
2.1170 2.1170 5.2830 Zn
0.0000 2.1170 9.1613 Zn
2.1170 2.1170 0.0000 Rh
2.1170 0.0000 7.9830 Nd
0.0000 2.1170 2.5829 Nd
```



15.
# K6CeBr12

A geometry-optimized K6CeBr12 structure (PBE-GGA, Alexandria).

Calculated values
* formation energy (no corrections): -1.46 eV/atom

Geometry as POSCAR:
```
K6CeBr12
1.0
-2.4142 6.8918 5.7760
-8.5848 -2.4498 -2.6436
1.2381 -6.6160 6.4331
Br K Ce
12 6 1
Cartesian
-4.5607 -4.0182 6.4149 Br
-7.2656 -6.8266 2.1136 Br
-8.2688 4.6670 3.7020 Br
-0.6708 -1.4495 10.0652 Br
-5.2002 1.8443 3.1506 Br
-2.4953 4.6527 7.4519 Br
-4.9499 1.2459 7.2141 Br
-4.8110 -3.4198 2.3514 Br
-1.4921 -6.8409 5.8635 Br
-8.0152 -1.1310 3.5459 Br
-1.7457 -1.0430 6.0195 Br
-9.0901 -0.7244 -0.4997 Br
-7.2592 -4.1879 4.5083 K
-3.8874 -1.5936 8.5387 K
-7.6747 1.5897 5.3975 K
-2.5017 2.0140 5.0572 K
-2.0862 -3.7636 4.1680 K
-5.8735 -0.5804 1.0268 K
0.0000 0.0000 0.0000 Ce
```



Computed magnetic moment (μB/cell) in order:
0.48; 0.00; 1.00; 0.86; 0.00; 4.99; 0.00; 0.00; 0.00; 8.05; 0.00; 0.00; 0.00; 0.00; 1.90
Computed VASP energy (eV per atom) in order:
-5.800; -4.915; -6.400; -6.700; -2.895; -4.563; -4.792; -3.209; -3.649; -7.883; -4.398; -4.872; -2.218; -2.922; -3.171